Material: Dy12Ho5Er2
Method: DFT, PBE
State: relaxed

Structure (CIF):
```
data_Dy12Ho5Er2
_chemical_formula_sum 'Dy12 Ho5 Er2'
_cell_length_a 9.1281
_cell_length_b 9.0422
_cell_length_c 8.4779
_cell_angle_alpha 91.10
_cell_angle_beta 90.00
_cell_angle_gamma 120.32
_symmetry_space_group_name_H-M 'P 1'
_symmetry_Int_Tables_number 1
loop_
_symmetry_equiv_pos_as_xyz
'x,y,z'
loop_
_atom_site_label
_atom_site_fract_x
_atom_site_fract_y
_atom_site_fract_z
Dy1 0.5663 0.7457 0.3344
Dy2 0.5582 0.1163 0.3364
Dy3 0.9717 0.3066 0.2416
Dy4 0.1794 0.7457 0.3344
Dy5 0.8206 0.2543 0.6656
Dy6 0.9115 0.8229 0.1164
Dy7 0.0283 0.6934 0.7584
Dy8 0.0885 0.1771 0.8836
Dy9 0.4418 0.8837 0.6636
Dy10 0.3350 0.3066 0.2416
Dy11 0.4337 0.2543 0.6656
Dy12 0.6650 0.6934 0.7584
Ho1 0.6995 0.3990 0.0140
Ho2 0.7682 0.5365 0.4276
Ho3 0.0000 0.0000 0.5000
Ho4 0.2318 0.4635 0.5724
Ho5 0.3005 0.6010 0.9860
Er1 0.6761 0.0000 0.0000
Er2 0.3239 0.0000 0.0000
```

## Properties
* calculated volume: 603.9 Å³/f.u.
* SG: No. 12
* energy above the most stable polymorph in this dataset: 38 meV per atom
* energy relative to the elements: 232 kJ/mol of formula units

=====

Material: Dy2Ho5Er6
Method: DFT, PBE
State: relaxed

Structure (CIF):
```
data_Dy2Ho5Er6
_chemical_formula_sum 'Dy4 Ho10 Er12'
_cell_length_a 3.5335
_cell_length_b 11.4981
_cell_length_c 19.9765
_cell_angle_alpha 90.00
_cell_angle_beta 90.00
_cell_angle_gamma 90.00
_symmetry_space_group_name_H-M 'P 1'
_symmetry_Int_Tables_number 1
loop_
_symmetry_equiv_pos_as_xyz
'x,y,z'
loop_
_atom_site_label
_atom_site_fract_x
_atom_site_fract_y
_atom_site_fract_z
Er1 0.0000 0.5829 0.1314
Er2 0.0000 0.0829 0.3686
Er3 0.0000 0.4409 0.5808
Er4 0.0000 0.9409 0.9192
Er5 0.5000 0.1733 0.6347
Er6 0.0000 0.0591 0.0808
Er7 0.0000 0.9171 0.6314
Er8 0.5000 0.6733 0.8653
Er9 0.0000 0.5591 0.4192
Er10 0.5000 0.3267 0.1347
Er11 0.5000 0.8267 0.3653
Er12 0.0000 0.4171 0.8686
Dy1 0.0000 0.1671 0.7897
Dy2 0.0000 0.6671 0.7103
Dy3 0.0000 0.3329 0.2897
Dy4 0.0000 0.8329 0.2103
Ho1 0.5000 0.5898 0.2734
Ho2 0.5000 0.3015 0.4501
Ho3 0.5000 0.0000 0.5000
Ho4 0.5000 0.5000 0.0000
Ho5 0.5000 0.8015 0.0499
Ho6 0.5000 0.4102 0.7266
Ho7 0.5000 0.6985 0.5499
Ho8 0.5000 0.0898 0.2266
Ho9 0.5000 0.1985 0.9501
Ho10 0.5000 0.9102 0.7734
```

## Properties
* calculated volume: 405.8 Å³/f.u.
* SG: No. 55
* energy relative to the elements: 125 kJ/mol of formula units

=====

Material: DyHo7Er2
Method: DFT, PBE
State: relaxed

Structure (CIF):
```
data_DyHo7Er2
_chemical_formula_sum 'Dy1 Ho7 Er2'
_cell_length_a 6.0870
_cell_length_b 9.2959
_cell_length_c 6.0762
_cell_angle_alpha 108.96
_cell_angle_beta 99.68
_cell_angle_gamma 102.61
_symmetry_space_group_name_H-M 'P 1'
_symmetry_Int_Tables_number 1
loop_
_symmetry_equiv_pos_as_xyz
'x,y,z'
loop_
_atom_site_label
_atom_site_fract_x
_atom_site_fract_y
_atom_site_fract_z
Er1 0.5003 0.3003 0.4000
Er2 0.4997 0.6997 0.6000
Ho1 0.5001 0.8997 0.2000
Ho2 0.0000 0.7996 0.4000
Ho3 0.5000 0.5000 0.0000
Ho4 0.0000 0.2004 0.6000
Ho5 0.0004 0.4001 0.2002
Ho6 0.9996 0.5999 0.7998
Ho7 0.4999 0.1003 0.8000
Dy1 0.0000 0.0000 0.0000
```

## Properties
* calculated volume: 306.5 Å³/f.u.
* SG: No. 2
* energy above the most stable polymorph in this dataset: 0 meV per atom
* energy relative to the elements: 21 kJ/mol of formula units

=====

Material: DyHo8Er6
Method: DFT, PBE
State: relaxed

Structure (CIF):
```
data_DyHo8Er6
_chemical_formula_sum 'Dy1 Ho8 Er6'
_cell_length_a 8.9264
_cell_length_b 8.9264
_cell_length_c 8.5201
_cell_angle_alpha 58.41
_cell_angle_beta 58.41
_cell_angle_gamma 60.00
_symmetry_space_group_name_H-M 'P 1'
_symmetry_Int_Tables_number 1
loop_
_symmetry_equiv_pos_as_xyz
'x,y,z'
loop_
_atom_site_label
_atom_site_fract_x
_atom_site_fract_y
_atom_site_fract_z
Ho1 0.2791 0.8900 0.5747
Ho2 0.8900 0.2562 0.5747
Ho3 0.5766 0.5766 0.2702
Ho4 0.2562 0.2791 0.5747
Ho5 0.1100 0.7438 0.4253
Ho6 0.7438 0.7209 0.4253
Ho7 0.4234 0.4234 0.7298
Ho8 0.7209 0.1100 0.4253
Er1 0.2296 0.5403 0.1212
Er2 0.1090 0.2296 0.1212
Er3 0.4597 0.8910 0.8788
Er4 0.5403 0.1090 0.1212
Er5 0.7704 0.4597 0.8788
Er6 0.8910 0.7704 0.8788
Dy1 0.0000 0.0000 0.0000
```

## Properties
* calculated volume: 468.2 Å³/f.u.
* SG: No. 148
* energy relative to the elements: 191 kJ/mol of formula units

=====

Question: Which of these has the highest calculated volume?
Answer: Dy12Ho5Er2

=====

Question: What is the formula in the second record?
Answer: Dy2Ho5Er6

=====

Question: Among the records above, which one has the highest calculated volume?
Answer: Dy12Ho5Er2

=====

Copy entry 1 word for word.
Material: Dy12Ho5Er2
Method: DFT, PBE
State: relaxed

Structure (CIF):
```
data_Dy12Ho5Er2
_chemical_formula_sum 'Dy12 Ho5 Er2'
_cell_length_a 9.1281
_cell_length_b 9.0422
_cell_length_c 8.4779
_cell_angle_alpha 91.10
_cell_angle_beta 90.00
_cell_angle_gamma 120.32
_symmetry_space_group_name_H-M 'P 1'
_symmetry_Int_Tables_number 1
loop_
_symmetry_equiv_pos_as_xyz
'x,y,z'
loop_
_atom_site_label
_atom_site_fract_x
_atom_site_fract_y
_atom_site_fract_z
Dy1 0.5663 0.7457 0.3344
Dy2 0.5582 0.1163 0.3364
Dy3 0.9717 0.3066 0.2416
Dy4 0.1794 0.7457 0.3344
Dy5 0.8206 0.2543 0.6656
Dy6 0.9115 0.8229 0.1164
Dy7 0.0283 0.6934 0.7584
Dy8 0.0885 0.1771 0.8836
Dy9 0.4418 0.8837 0.6636
Dy10 0.3350 0.3066 0.2416
Dy11 0.4337 0.2543 0.6656
Dy12 0.6650 0.6934 0.7584
Ho1 0.6995 0.3990 0.0140
Ho2 0.7682 0.5365 0.4276
Ho3 0.0000 0.0000 0.5000
Ho4 0.2318 0.4635 0.5724
Ho5 0.3005 0.6010 0.9860
Er1 0.6761 0.0000 0.0000
Er2 0.3239 0.0000 0.0000
```

## Properties
* calculated volume: 603.9 Å³/f.u.
* SG: No. 12
* energy above the most stable polymorph in this dataset: 38 meV per atom
* energy relative to the elements: 232 kJ/mol of formula units